Computed, not measured: crystalline K2ZrAsS4 at its relaxed geometry at the GGA-PBE level of DFT.

## Properties
Density of states at the Fermi level ... 0.42 states/eV/atom
Formation energy without anion corrections ... -0.8370 eV/atom
Total energy ... -4.825 eV/atom
Total magnetic moment ... 0.000 μB/atom

Geometry as CIF:
```
data_K2ZrAsS4
_chemical_formula_sum 'K4 Zr2 As2 S8'
_cell_length_a 5.5334
_cell_length_b 7.7247
_cell_length_c 12.7390
_cell_angle_alpha 85.54
_cell_angle_beta 77.46
_cell_angle_gamma 69.01
_symmetry_space_group_name_H-M 'P 1'
_symmetry_Int_Tables_number 1
loop_
_symmetry_equiv_pos_as_xyz
'x,y,z'
loop_
_atom_site_label
_atom_site_fract_x
_atom_site_fract_y
_atom_site_fract_z
K1 0.1738 0.0000 0.6524
K2 0.8262 0.0000 0.3476
K3 0.5762 0.5000 0.8476
K4 0.9238 0.5000 0.1524
Zr1 0.7500 0.5000 0.5000
Zr2 0.0000 0.0000 0.0000
As1 0.2500 0.5000 0.5000
As2 0.5000 0.0000 0.0000
S1 0.2778 0.7847 0.1174
S2 0.1800 0.2153 0.8826
S3 0.9375 0.7847 0.8826
S4 0.6047 0.2153 0.1174
S5 0.4722 0.7153 0.3826
S6 0.5700 0.2847 0.6174
S7 0.8125 0.7153 0.6174
S8 0.1453 0.2847 0.3826
```